[1]
The following is a PBE calculation of an optimized crystal structure of PmAl2CdAu2, from the Alexandria database.

Cell: 4.480 4.480 7.156 Å, 90.00 90.00 120.00°
Atoms (fractional coordinates):
Pm 0.000 0.000 0.000
Al 0.333 0.667 0.291
Al 0.667 0.333 0.709
Cd 0.000 0.000 0.500
Au 0.333 0.667 0.723
Au 0.667 0.333 0.277

Properties
Symmetry: P-3m1, No. 164
Magnetic moment, Bohr magnetons per cell: 0.00
Uncorrected energy, eV per atom: -3.825

[2]
The following is a PBE calculation of an optimized crystal structure of PmAlCd2Au4, from the Alexandria database.

Cell: 9.135 9.135 9.135 Å, 29.62 29.62 29.62°
Atoms (fractional coordinates):
Pm 0.000 0.000 0.000
Al 0.500 0.500 0.500
Cd 0.248 0.248 0.248
Cd 0.752 0.752 0.752
Au 0.136 0.136 0.136
Au 0.394 0.394 0.394
Au 0.606 0.606 0.606
Au 0.864 0.864 0.864

Properties
Symmetry: R-3m, No. 166
Magnetic moment, Bohr magnetons per cell: 0.00
Uncorrected energy, eV per atom: -3.352